## A
Entry from Alexandria: a relaxed structure of LiCd2Sb2 (PBE).

Results
Its space group is P4/mbm, No. 127. The density of states at the Fermi level comes out at 0.3344 states/eV/atom. The value obtained for the spin magnetization is 0.000 μB per atom. As for the crystal system: tetragonal.

Cell and atoms, written as POSCAR:
```
LiCd2Sb2
1.0
8.3576 0.0000 0.0000
0.0000 8.3576 0.0000
0.0000 0.0000 3.7371
Sb Li Cd
4 2 4
direct
0.3269 0.8269 0.0000
0.8269 0.6731 0.0000
0.6731 0.1731 0.0000
0.1731 0.3269 0.0000
0.0000 0.0000 0.0000
0.5000 0.5000 0.0000
0.1294 0.6294 0.5000
0.6294 0.8706 0.5000
0.8706 0.3706 0.5000
0.3706 0.1294 0.5000
```

## B
Entry from Alexandria: a relaxed structure of LiCd2Sb2 (PBE).

Results
Its space group is I4/mmm, No. 139. The density of states at the Fermi level comes out at 0.3521 states/eV/atom. The value obtained for the spin magnetization is 0.000 μB per atom. As for the crystal system: tetragonal.

Cell and atoms, written as POSCAR:
```
LiCd2Sb2
1.0
4.7357 0.0000 0.0000
0.0000 4.7357 0.0000
2.3679 2.3679 6.4575
Sb Li Cd
2 1 2
direct
0.7500 0.2500 0.5000
0.2500 0.7500 0.5000
0.0000 0.0000 0.0000
0.3953 0.3953 0.2095
0.6047 0.6047 0.7905
```

## C
Entry from Alexandria: a relaxed structure of LiCd2Sb2 (PBE).

Results
Its space group is P2_1/m, No. 11. The density of states at the Fermi level comes out at 0.1626 states/eV/atom. The value obtained for the spin magnetization is 0.000 μB per atom. As for the crystal system: monoclinic.

Cell and atoms, written as POSCAR:
```
LiCd2Sb2
1.0
4.7214 0.0000 -0.4410
0.0000 4.7512 0.0000
1.0545 0.0000 11.6358
Li Cd Sb
2 4 4
direct
0.2474 0.7500 0.8175
0.7526 0.2500 0.1825
0.2541 0.7500 0.5085
0.7457 0.2500 0.8169
0.7459 0.2500 0.4915
0.2543 0.7500 0.1831
0.2499 0.2500 0.0171
0.7547 0.7500 0.3434
0.2453 0.2500 0.6566
0.7501 0.7500 0.9829
```

## D
Entry from Alexandria: a relaxed structure of LiCd2Sb2 (PBE).

Results
Its space group is I4/mmm, No. 139. The density of states at the Fermi level comes out at 0.4067 states/eV/atom. The value obtained for the spin magnetization is 0.000 μB per atom. As for the crystal system: tetragonal.

Cell and atoms, written as POSCAR:
```
LiCd2Sb2
1.0
2.0715 -6.2515 4.1819
0.5013 -1.3111 7.6740
-4.2586 2.8160 -5.8987
Li Cd Sb
1 2 2
direct
0.0000 0.0000 0.0000
0.2500 0.7500 0.5000
0.7500 0.2500 0.5000
0.6097 0.6097 0.0000
0.3903 0.3903 0.0000
```

The winner here is C, beating the second structure by 76 meV per atom.

## A
Entry from Alexandria: a relaxed structure of LiCdSbTe2 (PBE).

Results
Its space group is P4/mmm, No. 123. The density of states at the Fermi level comes out at 0.6524 states/eV/atom. The value obtained for the spin magnetization is 0.000 μB per atom. As for the crystal system: tetragonal.

Cell and atoms, written as POSCAR:
```
LiCdSbTe2
1.0
5.3084 0.0000 0.0000
0.0000 5.3084 0.0000
0.0000 0.0000 4.8538
Sb Te Li Cd
1 2 1 1
direct
0.0000 0.0000 0.5000
0.0000 0.5000 0.0000
0.5000 0.0000 0.0000
0.0000 0.0000 0.0000
0.5000 0.5000 0.5000
```

## B
Entry from Alexandria: a relaxed structure of LiCdSbTe2 (PBE).

Results
Its space group is P4/mmm, No. 123. The density of states at the Fermi level comes out at 0.7212 states/eV/atom. The value obtained for the spin magnetization is 0.000 μB per atom. As for the crystal system: tetragonal.

Cell and atoms, written as POSCAR:
```
LiCdSbTe2
1.0
-4.0646 -4.0718 -0.6181
1.8309 -1.0086 -5.3957
3.4594 -3.7375 1.8725
Sb Te Li Cd
1 2 1 1
direct
0.0000 0.0000 0.5000
0.0000 0.5000 0.0000
0.5000 0.0000 0.0000
0.5000 0.5000 0.5000
0.0000 0.0000 0.0000
```

The winner here is A, beating the second structure by 93 meV per atom.

## A
Entry from Alexandria: a relaxed structure of LiSc2Cd2 (PBE).

Results
Its space group is P4/mbm, No. 127. The density of states at the Fermi level comes out at 0.6935 states/eV/atom. The value obtained for the spin magnetization is 0.000 μB per atom. As for the crystal system: tetragonal.

Cell and atoms, written as POSCAR:
```
LiSc2Cd2
1.0
7.8842 0.0000 0.0000
0.0000 7.8842 0.0000
0.0000 0.0000 3.7099
Sc Li Cd
4 2 4
direct
0.1573 0.6573 0.5000
0.6573 0.8427 0.5000
0.8427 0.3427 0.5000
0.3427 0.1573 0.5000
0.0000 0.0000 0.0000
0.5000 0.5000 0.0000
0.3596 0.8596 0.0000
0.8596 0.6404 0.0000
0.6404 0.1404 0.0000
0.1404 0.3596 0.0000
```

## B
Entry from Alexandria: a relaxed structure of LiSc2Cd2 (PBE).

Results
Its space group is I4/mmm, No. 139. The density of states at the Fermi level comes out at 0.8606 states/eV/atom. The value obtained for the spin magnetization is 0.135 μB per atom. As for the crystal system: tetragonal.

Cell and atoms, written as POSCAR:
```
LiSc2Cd2
1.0
4.1695 0.0000 0.0000
0.0000 4.1695 0.0000
2.0847 2.0847 7.1694
Sc Li Cd
2 1 2
direct
0.7500 0.2500 0.5000
0.2500 0.7500 0.5000
0.0000 0.0000 0.0000
0.4039 0.4039 0.1922
0.5961 0.5961 0.8078
```

## C
Entry from Alexandria: a relaxed structure of LiSc2Cd2 (PBE).

Results
Its space group is P4/mbm, No. 127. The density of states at the Fermi level comes out at 1.0171 states/eV/atom. The value obtained for the spin magnetization is 0.074 μB per atom. As for the crystal system: tetragonal.

Cell and atoms, written as POSCAR:
```
LiSc2Cd2
1.0
8.6736 0.0000 0.0000
0.0000 8.6736 0.0000
0.0000 0.0000 3.1686
Sc Li Cd
4 2 4
direct
0.3749 0.8749 0.0000
0.8749 0.6251 0.0000
0.6251 0.1251 0.0000
0.1251 0.3749 0.0000
0.0000 0.0000 0.0000
0.5000 0.5000 0.0000
0.1718 0.6718 0.5000
0.6718 0.8282 0.5000
0.8282 0.3282 0.5000
0.3282 0.1718 0.5000
```

The winner here is A, beating the second structure by 75 meV per atom.

## A
Entry from Alexandria: a relaxed structure of LiSc3Cd (PBE).

Results
Its space group is Pm-3m, No. 221. The density of states at the Fermi level comes out at 1.3752 states/eV/atom. The value obtained for the spin magnetization is 0.718 μB per atom. As for the crystal system: cubic.

Cell and atoms, written as POSCAR:
```
LiSc3Cd
1.0
4.9559 0.0000 0.0000
0.0000 4.9559 0.0000
0.0000 0.0000 4.9559
Sc Li Cd
3 1 1
direct
0.0000 0.5000 0.0000
0.0000 0.0000 0.5000
0.5000 0.0000 0.0000
0.0000 0.0000 0.0000
0.5000 0.5000 0.5000
```

## B
Entry from Alexandria: a relaxed structure of LiSc3Cd (PBE).

Results
Its space group is Pm-3m, No. 221. The density of states at the Fermi level comes out at 1.5256 states/eV/atom. The value obtained for the spin magnetization is 0.349 μB per atom. As for the crystal system: cubic.

Cell and atoms, written as POSCAR:
```
LiSc3Cd
1.0
5.3868 0.0000 0.0000
0.0000 5.3868 0.0000
0.0000 0.0000 5.3868
Sc Li Cd
3 1 1
direct
0.0000 0.5000 0.0000
0.0000 0.0000 0.5000
0.5000 0.0000 0.0000
0.5000 0.5000 0.5000
0.0000 0.0000 0.0000
```

The winner here is A, beating the second structure by 92 meV per atom.

## A
Entry from Alexandria: a relaxed structure of LiScCd3 (PBE).

Results
Its space group is Pm-3m, No. 221. The density of states at the Fermi level comes out at 0.9524 states/eV/atom. The value obtained for the spin magnetization is 0.000 μB per atom. As for the crystal system: cubic.

Cell and atoms, written as POSCAR:
```
LiScCd3
1.0
5.5995 0.0000 0.0000
0.0000 5.5995 0.0000
0.0000 0.0000 5.5995
Sc Li Cd
1 1 3
direct
0.0000 0.0000 0.0000
0.5000 0.5000 0.5000
0.0000 0.5000 0.0000
0.0000 0.0000 0.5000
0.5000 0.0000 0.0000
```

## B
Entry from Alexandria: a relaxed structure of LiScCd3 (PBE).

Results
Its space group is Cmcm, No. 63. The density of states at the Fermi level comes out at 0.6303 states/eV/atom. The value obtained for the spin magnetization is 0.000 μB per atom. As for the crystal system: orthorhombic.

Cell and atoms, written as POSCAR:
```
LiScCd3
1.0
-2.4610 -1.7544 3.5949
2.4167 -3.8751 -0.2367
7.5695 7.2609 2.5920
Li Sc Cd
2 2 6
direct
0.7493 0.2497 0.4994
0.2507 0.7503 0.5006
0.1324 0.4412 0.8823
0.8676 0.5588 0.1177
0.6440 0.9470 0.8940
0.3560 0.0530 0.1060
0.5709 0.6604 0.3209
0.4291 0.3396 0.6791
0.9190 0.8345 0.6690
0.0810 0.1655 0.3310
```

## C
Entry from Alexandria: a relaxed structure of LiScCd3 (PBE).

Results
Its space group is Pm-3m, No. 221. The density of states at the Fermi level comes out at 0.7925 states/eV/atom. The value obtained for the spin magnetization is 0.000 μB per atom. As for the crystal system: cubic.

Cell and atoms, written as POSCAR:
```
LiScCd3
1.0
-2.8268 -0.5236 3.7583
-1.7580 -3.9725 -1.8757
3.3628 -2.5169 2.1786
Sc Li Cd
1 1 3
direct
0.5000 0.5000 0.5000
0.0000 0.0000 0.0000
0.0000 0.5000 0.0000
0.0000 0.0000 0.5000
0.5000 0.0000 0.0000
```

The winner here is B, beating the second structure by 286 meV per atom.

## A
Entry from Alexandria: a relaxed structure of LiScCd (PBE).

Results
Its space group is F-43m, No. 216. The density of states at the Fermi level comes out at 1.4700 states/eV/atom. The value obtained for the spin magnetization is 0.150 μB per atom. As for the crystal system: cubic.

Cell and atoms, written as POSCAR:
```
LiScCd
1.0
-1.7361 1.3126 -4.2569
1.9448 -1.7286 -4.0109
-2.4197 -3.1444 -2.6675
Cd Li Sc
1 1 1
direct
0.0000 0.0000 0.0000
0.5000 0.5000 0.5000
0.7500 0.7500 0.7500
```

## B
Entry from Alexandria: a relaxed structure of LiScCd (PBE).

Results
Its space group is R3m, No. 160. The density of states at the Fermi level comes out at 1.0052 states/eV/atom. The value obtained for the spin magnetization is 0.000 μB per atom. As for the crystal system: trigonal.

Cell and atoms, written as POSCAR:
```
LiScCd
1.0
-3.4526 2.0541 0.6639
-2.0493 -0.5946 -3.4681
-2.5972 -2.9659 1.0192
Li Cd Sc
1 1 1
direct
0.7214 0.7214 0.7214
0.0222 0.0222 0.0222
0.3695 0.3695 0.3695
```

The winner here is B, beating the second structure by 401 meV per atom.